A plane-wave DFT calculation with PBE-GGA was carried out for an optimized crystal structure of CeLuHgIr.

a = 5.062 Å, b = 5.062 Å, c = 5.062 Å
α = 60.00°, β = 60.00°, γ = 60.00°
Last column: magnetic moment on the atom in μB.
Positions (direct):
Ir1 0.500 0.500 0.500  -0.02
Lu1 0.250 0.250 0.250  0.04
Ce1 0.750 0.750 0.750  0.62
Hg1 0.000 0.000 0.000  0.01

Calculated values
**Calculated formation energy**: -520 meV/atom
**Calculated volume**: 91.7 Å³/cell
**Energy**: -5.425 eV/atom
**Calculated density**: 12.819 g/cm3

---

A plane-wave DFT calculation with PBE-GGA was carried out for an optimized crystal structure of PrZnPCl.

a = 4.129 Å, b = 4.129 Å, c = 13.593 Å
α = 81.26°, β = 81.26°, γ = 60.00°
Positions (direct):
Pr1 0.082 0.082 0.753
Pr2 0.918 0.918 0.247
Cl1 0.791 0.791 0.628
Cl2 0.209 0.209 0.372
Zn1 0.691 0.691 0.927
Zn2 0.309 0.309 0.073
P1 0.629 0.629 0.113
P2 0.371 0.371 0.887

Calculated values
**Formation energy without anion corrections**: -1.18 eV/atom
**Calculated volume**: 197.6 Å³/cell
**Energy**: -4.506 eV/atom
**Calculated density**: 4.585 g/cm3

---

A plane-wave DFT calculation with PBE-GGA was carried out for an optimized crystal structure of KTmNpO6.

a = 5.326 Å, b = 5.326 Å, c = 10.421 Å
α = 90.00°, β = 90.00°, γ = 90.00°
Last column: magnetic moment on the atom in μB.
Positions (direct):
Np1 0.000 0.000 0.335  -0.18
Np2 0.500 0.500 0.835  -0.18
O1 0.293 0.293 0.711  0.21
O2 0.336 0.336 0.986  0.06
O3 0.793 0.207 0.211  0.21
O4 0.269 0.269 0.303  0.24
O5 0.207 0.793 0.211  0.21
O6 0.664 0.664 0.986  0.06
O7 0.164 0.836 0.486  0.06
O8 0.769 0.231 0.803  0.24
O9 0.231 0.769 0.803  0.24
O10 0.836 0.164 0.486  0.06
O11 0.731 0.731 0.303  0.24
O12 0.707 0.707 0.711  0.21
K1 0.000 0.000 0.998  0.00
K2 0.500 0.500 0.498  0.00
Tm1 0.000 0.000 0.667  -0.02
Tm2 0.500 0.500 0.167  -0.02

Calculated values
**Formation energy without anion corrections**: -2.46 eV/atom
**Calculated volume**: 295.6 Å³/cell
**Energy**: -7.826 eV/atom
**Calculated density**: 6.078 g/cm3

---

A plane-wave DFT calculation with PBE-GGA was carried out for an optimized crystal structure of Tc2Ni2Os.

a = 6.773 Å, b = 6.773 Å, c = 2.851 Å
α = 90.00°, β = 90.00°, γ = 90.00°
Positions (direct):
Ni1 0.622 0.122 0.000
Ni2 0.378 0.878 0.000
Ni3 0.878 0.622 0.000
Ni4 0.122 0.378 0.000
Tc1 0.675 0.825 0.500
Tc2 0.175 0.675 0.500
Tc3 0.325 0.175 0.500
Tc4 0.825 0.325 0.500
Os1 0.000 0.000 0.000
Os2 0.500 0.500 0.000

Calculated values
**Calculated formation energy**: 224 meV/atom
**Calculated volume**: 130.8 Å³/cell
**Energy**: -8.481 eV/atom
**Calculated density**: 12.788 g/cm3

---

A plane-wave DFT calculation with PBE-GGA was carried out for an optimized crystal structure of Er3Mg2Co2.

a = 3.808 Å, b = 3.853 Å, c = 10.908 Å
α = 90.00°, β = 79.95°, γ = 90.00°
Last column: magnetic moment on the atom in μB.
Positions (direct):
Co1 0.724 0.500 0.553  0.76
Co2 0.276 0.500 0.447  0.76
Er1 0.822 0.000 0.357  -0.12
Er2 0.000 0.000 0.000  0.12
Er3 0.178 0.000 0.643  -0.12
Mg1 0.410 0.500 0.179  0.00
Mg2 0.590 0.500 0.821  0.00

Calculated values
**Calculated formation energy**: -155 meV/atom
**Calculated volume**: 157.6 Å³/cell
**Energy**: -4.596 eV/atom
**Calculated density**: 7.042 g/cm3

---

A plane-wave DFT calculation with PBE-GGA was carried out for an optimized crystal structure of Pm3Y6ThSc2.

a = 6.121 Å, b = 6.121 Å, c = 11.786 Å
α = 94.97°, β = 94.97°, γ = 120.00°
Positions (direct):
Pm1 0.833 0.167 0.500
Pm2 0.167 0.833 0.500
Pm3 0.500 0.500 0.500
Y1 0.919 0.586 0.757
Y2 0.414 0.081 0.243
Y3 0.586 0.919 0.757
Y4 0.748 0.748 0.243
Y5 0.252 0.252 0.757
Y6 0.081 0.414 0.243
Sc1 0.667 0.333 0.000
Sc2 0.333 0.667 0.000
Th1 0.000 0.000 0.000

Calculated values
**Calculated formation energy**: 42 meV/atom
**Calculated volume**: 376.6 Å³/cell
**Energy**: -6.052 eV/atom
**Calculated density**: 5.689 g/cm3